! Rb12Hg5Bi3 (GGA-PBE, relaxed); values from VASP
&SYSTEM
  ibrav = 0, nat = 80, ntyp = 3
/
ATOMIC_SPECIES
Rb 85.47 Rb.upf
Bi 208.98 Bi.upf
Hg 200.59 Hg.upf
CELL_PARAMETERS angstrom
18.600 0.000 0.000
-6.200 17.537 0.000
-6.200 -8.768 15.187
ATOMIC_POSITIONS crystal
Rb 0.670 0.233 0.593
Rb 0.233 0.563 0.640
Rb 0.577 0.640 0.407
Rb 0.330 0.563 0.423
Rb 0.170 0.077 0.937
Rb 0.093 0.923 0.360
Rb 0.563 0.330 0.923
Rb 0.670 0.437 0.577
Rb 0.830 0.923 0.063
Rb 0.063 0.423 0.830
Rb 0.767 0.437 0.360
Rb 0.937 0.577 0.170
Rb 0.140 0.733 0.563
Rb 0.423 0.063 0.330
Rb 0.577 0.937 0.670
Rb 0.140 0.407 0.077
Rb 0.330 0.767 0.407
Rb 0.593 0.733 0.670
Rb 0.860 0.267 0.437
Rb 0.267 0.860 0.937
Rb 0.077 0.170 0.437
Rb 0.437 0.767 0.860
Rb 0.407 0.140 0.577
Rb 0.233 0.670 0.093
Rb 0.267 0.407 0.830
Rb 0.640 0.577 0.907
Rb 0.063 0.640 0.733
Rb 0.093 0.170 0.233
Rb 0.907 0.077 0.640
Rb 0.437 0.670 0.077
Rb 0.077 0.907 0.140
Rb 0.593 0.860 0.423
Rb 0.830 0.907 0.267
Rb 0.640 0.063 0.233
Rb 0.937 0.360 0.267
Rb 0.923 0.093 0.860
Rb 0.767 0.330 0.907
Rb 0.923 0.830 0.563
Rb 0.563 0.233 0.140
Rb 0.733 0.593 0.170
Rb 0.407 0.267 0.330
Rb 0.907 0.830 0.767
Rb 0.360 0.423 0.093
Rb 0.170 0.093 0.733
Rb 0.733 0.140 0.063
Rb 0.860 0.593 0.923
Rb 0.360 0.937 0.767
Rb 0.423 0.360 0.593
Bi 0.875 0.125 0.250
Bi 0.750 0.875 0.625
Bi 0.375 0.625 0.250
Bi 0.875 0.750 0.125
Bi 0.625 0.250 0.375
Bi 0.250 0.625 0.875
Bi 0.375 0.750 0.625
Bi 0.750 0.375 0.125
Bi 0.125 0.875 0.750
Bi 0.625 0.375 0.750
Bi 0.125 0.250 0.875
Bi 0.250 0.125 0.375
Hg 0.750 0.625 0.375
Hg 0.000 0.500 0.000
Hg 0.000 0.000 0.500
Hg 0.125 0.750 0.375
Hg 0.750 0.125 0.875
Hg 0.875 0.625 0.750
Hg 0.125 0.375 0.250
Hg 0.375 0.250 0.125
Hg 0.625 0.875 0.250
Hg 0.500 0.500 0.500
Hg 0.500 0.000 0.500
Hg 0.500 0.000 0.000
Hg 0.000 0.500 0.500
Hg 0.375 0.125 0.750
Hg 0.250 0.875 0.125
Hg 0.250 0.375 0.625
Hg 0.625 0.750 0.875
Hg 0.500 0.500 0.000
Hg 0.875 0.250 0.625
Hg 0.000 0.000 0.000
! space-group type = Ia-3d, No. 230
! crystal system = cubic
! density of states at the Fermi level = 56.0 states/eV/cell
! magnetic moment = 0.0000 μB/atom
! energy of formation = -0.14 eV/atom